Material: Fe2RhS2
Method: DFT, PBE
State: relaxed

Results
- formation energy (no corrections) (meV per atom) = 161
- volume (A^3/atom) = 12.86
- total DFT energy (no corrections) (hartree per atom) = -0.233
- space-group type = P4/mbm, No. 127

Cell: 6.628 6.628 2.926 Å, 90.00 90.00 90.00°
Positions (direct):
1 S 0.162 0.662 0.500
2 S 0.662 0.838 0.500
3 S 0.838 0.338 0.500
4 S 0.338 0.162 0.500
5 Rh 0.000 0.000 0.000
6 Rh 0.500 0.500 0.000
7 Fe 0.367 0.867 0.000
8 Fe 0.867 0.633 0.000
9 Fe 0.633 0.133 0.000
10 Fe 0.133 0.367 0.000

***

Material: FeRh2S
Method: DFT, PBE
State: relaxed

Results
- formation energy (no corrections) (meV per atom) = 481
- volume (A^3/atom) = 18.01
- total DFT energy (no corrections) (hartree per atom) = -0.233
- space-group type = I-42d, No. 122

Cell: 5.226 5.226 6.441 Å, 66.06 66.06 90.00°
Positions (direct):
1 S 0.500 0.500 0.000
2 S 0.250 0.750 0.500
3 Rh 0.620 0.125 0.250
4 Rh 0.130 0.625 0.250
5 Rh 0.375 0.380 0.750
6 Rh 0.875 0.870 0.750
7 Fe 0.000 0.000 0.000
8 Fe 0.750 0.250 0.500

***

Material: FeSb2RhS
Method: DFT, PBE
State: relaxed

Results
- formation energy (no corrections) (meV per atom) = 598
- volume (A^3/atom) = 24.29
- total DFT energy (no corrections) (hartree per atom) = -0.185
- space-group type = P4/mmm, No. 123

Cell: 5.017 4.825 5.017 Å, 90.00 90.00 90.00°
Positions (direct):
1 Sb 0.000 0.000 0.500
2 Sb 0.500 0.000 0.000
3 S 0.500 0.500 0.500
4 Rh 0.000 0.000 0.000
5 Fe 0.000 0.500 0.000

***

Material: FeSnRhS2
Method: DFT, PBE
State: relaxed

Results
- formation energy (no corrections) (meV per atom) = 990
- volume (A^3/atom) = 21.74
- total DFT energy (no corrections) (hartree per atom) = -0.170
- space-group type = P4/mmm, No. 123

Cell: 4.479 5.418 4.479 Å, 90.00 90.00 90.00°
Positions (direct):
1 S 0.000 0.000 0.500
2 S 0.500 0.000 0.000
3 Rh 0.000 0.000 0.000
4 Sn 0.000 0.500 0.000
5 Fe 0.500 0.500 0.500

***

Material: Th4FeRhS2
Method: DFT, PBE
State: relaxed

Results
- formation energy (no corrections) (meV per atom) = -1073
- volume (A^3/atom) = 24.74
- total DFT energy (no corrections) (hartree per atom) = -0.286
- space-group type = P2/m, No. 10

Cell: 3.994 7.469 6.982 Å, 71.84 90.00 90.00°
Positions (direct):
1 Th 0.000 0.727 0.747
2 Th 0.000 0.273 0.253
3 Th 0.500 0.720 0.270
4 Th 0.500 0.280 0.730
5 Fe 0.000 0.500 0.500
6 Rh 0.500 0.500 0.000
7 S 0.000 0.000 0.000
8 S 0.500 0.000 0.500

***

Material: TiFe2RhS
Method: DFT, PBE
State: relaxed

Results
- formation energy (no corrections) (meV per atom) = 907
- volume (A^3/atom) = 16.55
- total DFT energy (no corrections) (hartree per atom) = -0.233
- space-group type = P4/mmm, No. 123

Cell: 4.302 4.470 4.302 Å, 90.00 90.00 90.00°
Positions (direct):
1 S 0.000 0.500 0.000
2 Rh 0.500 0.500 0.500
3 Fe 0.000 0.000 0.500
4 Fe 0.500 0.000 0.000
5 Ti 0.000 0.000 0.000